The following is a GGA-PBE calculation of Ga2RhSeCl after structural relaxation, from the Alexandria database.

Cell: 5.1322 4.9456 5.1322 Å, 90.00 90.00 90.00°
Closest atoms and distances in Å follow each position.
Sites, in units of the cell vectors:
Rh  0.5000  0.5000  0.5000  8 Ga 3.56, 4 Cl 3.63
Ga  0.0000  0.0000  0.5000  2 Se 2.57
Ga  0.5000  0.0000  0.0000  2 Se 2.57
Se  0.0000  0.0000  0.0000  2 Cl 2.47, 4 Ga 2.57
Cl  0.0000  0.5000  0.0000  2 Se 2.47

Results
ΔE_f (raw)	0.82	eV per atom
N(E_F)	7.0	states/eV/f.u.
space group	P4/mmm

The following is a GGA-PBE calculation of Ga2SnRhCl after structural relaxation, from the Alexandria database.

Cell: 4.8296 4.8296 5.0945 Å, 90.00 90.00 90.00°
Closest atoms and distances in Å follow each position.
Sites, in units of the cell vectors:
Rh  0.0000  0.0000  0.0000  4 Ga 2.41, 2 Sn 2.55
Sn  0.0000  0.0000  0.5000  2 Rh 2.55
Ga  0.0000  0.5000  0.0000  2 Rh 2.41
Ga  0.5000  0.0000  0.0000  2 Rh 2.41
Cl  0.5000  0.5000  0.5000  4 Sn 3.42, 8 Ga 3.51

Results
ΔE_f (raw)	-0.52	eV per atom
N(E_F)	0.7	states/eV/f.u.
space group	P4/mmm

The following is a GGA-PBE calculation of GaTcRh2Cl after structural relaxation, from the Alexandria database.

Cell: 4.6359 4.6359 4.8971 Å, 90.00 90.00 90.00°
Closest atoms and distances in Å follow each position.
Sites, in units of the cell vectors:
Rh  0.0000  0.5000  0.0000  2 Ga 2.32
Rh  0.5000  0.0000  0.0000  2 Ga 2.32
Tc  0.0000  0.0000  0.5000  2 Ga 2.45
Ga  0.0000  0.0000  0.0000  4 Rh 2.32, 2 Tc 2.45
Cl  0.5000  0.5000  0.5000  4 Tc 3.28, 8 Rh 3.37

Results
ΔE_f (raw)	1.18	eV per atom
N(E_F)	5.8	states/eV/f.u.
space group	P4/mmm